## MgCd8 (GGA-PBE)

Data for MgCd8 after structural relaxation.

```
data_MgCd8
_space_group_name_H-M_alt 'P 1'
_space_group_IT_number 1
_cell_length_a 8.3763
_cell_length_b 8.3763
_cell_length_c 8.3763
_cell_angle_alpha 91.85
_cell_angle_beta 91.85
_cell_angle_gamma 159.30
loop_
_space_group_symop_operation_xyz
'x,y,z'
loop_
_atom_site_label
_atom_site_type_symbol
_atom_site_fract_x
_atom_site_fract_y
_atom_site_fract_z
Mg1 Mg 0.0000 0.0000 0.0000
Cd1 Cd 0.0000 0.3331 0.3331
Cd2 Cd 0.0000 0.6669 0.6669
Cd3 Cd 0.3331 0.0000 0.3331
Cd4 Cd 0.3344 0.3344 0.6687
Cd5 Cd 0.3344 0.6656 0.0000
Cd6 Cd 0.6656 0.3344 0.0000
Cd7 Cd 0.6656 0.6656 0.3313
Cd8 Cd 0.6669 0.0000 0.6669
```

Polymorph energy (0 for the lowest one) = 20 meV per atom
Formation enthalpy at 0 K = -4 meV/atom
E_tot = -9.0 eV per cell
Size of the total moment = 0.000 μB per atom